Model one:
# PmY2Sc | the Alexandria database | GGA-PBE | relaxed
# Crystal system   triclinic
data_PmY2Sc
_space_group_name_H-M_alt 'P -1'
_space_group_IT_number 2
_cell_length_a 6.0959
_cell_length_b 7.0052
_cell_length_c 7.0161
_cell_angle_alpha 60.12
_cell_angle_beta 73.27
_cell_angle_gamma 89.89
loop_
_space_group_symop_operation_xyz
'x,y,z'
'-x,-y,-z'
loop_
_atom_site_label
_atom_site_fract_x
_atom_site_fract_y
_atom_site_fract_z
_atom_site_occupancy
Pm1 0.2451 0.3741 0.2519 1
Y1 0.2497 0.3723 0.7505 1
Y2 0.2498 0.8770 0.7501 1
Sc1 0.2579 0.8777 0.2447 1

Model two:
# PmY2Sc | the Alexandria database | GGA-PBE | relaxed
# Crystal system   trigonal
data_PmY2Sc
_space_group_name_H-M_alt 'R -3 m'
_space_group_IT_number 166
_space_group_name_Hall '-R 3 2"'
_cell_length_a 3.5300
_cell_length_b 3.5300
_cell_length_c 34.1898
_cell_angle_alpha 90.00
_cell_angle_beta 90.00
_cell_angle_gamma 120.00
loop_
_atom_site_label
_atom_site_fract_x
_atom_site_fract_y
_atom_site_fract_z
_atom_site_occupancy
Pm1 0.0000 0.0000 0.0000 1
Y1 0.0000 0.0000 0.2461 1
Sc1 0.0000 0.0000 0.5000 1

If we sort the structures by their calculated energies, the order from most to least stable is model one, model two.